Entry 1:
DFT (PBE) results for a relaxed structure of LiYSc2.

Summary:
The calculation puts the uncorrected energy at -0.1874 hartree per atom. As for the magnetization: 0.0 μB/f.u.

a = 3.632 Å, b = 5.237 Å, c = 5.280 Å
α = 90.00°, β = 90.00°, γ = 90.00°
Space group Pmmm (No. 47)
Asymmetric unit:
1 Li 0.000 0.000 0.000
2 Y 0.500 0.500 0.000
3 Sc 0.000 0.500 0.500
4 Sc 0.500 0.000 0.500

Entry 2:
DFT (PBE) results for a relaxed structure of LiY3Sc.

Summary:
The calculation puts the uncorrected energy at -0.1843 hartree per atom. As for the magnetization: 0.0 μB/f.u.

a = 5.331 Å, b = 5.331 Å, c = 5.331 Å
α = 90.00°, β = 90.00°, γ = 90.00°
Space group Pm-3m (No. 221)
Asymmetric unit:
1 Li 0.000 0.000 0.000
2 Y 0.000 0.000 0.500
3 Sc 0.500 0.500 0.500

Entry 3:
DFT (PBE) results for a relaxed structure of LiYSc.

Summary:
The calculation puts the uncorrected energy at -0.1746 hartree per atom. As for the magnetization: 0.1 μB/f.u.

a = 3.3641 Å, b = 3.3641 Å, c = 8.0768 Å
α = 90.00°, β = 90.00°, γ = 120.00°
Space group P3m1 (No. 156)
Asymmetric unit:
1 Li 0.0000 0.0000 0.0000
2 Y 0.6667 0.3333 0.6534
3 Sc 0.3333 0.6667 0.3201

Entry 4:
DFT (PBE) results for a relaxed structure of Li2YSc2.

Summary:
The calculation puts the uncorrected energy at -0.1579 hartree per atom. As for the magnetization: 0.0 μB/f.u.

a = 4.002 Å, b = 4.002 Å, c = 15.886 Å
α = 90.00°, β = 90.00°, γ = 90.00°
Space group I4/mmm (No. 139)
Asymmetric unit:
1 Li 0.000 0.500 0.250
2 Y 0.000 0.000 0.000
3 Sc 0.000 0.000 0.399

Entry 5:
DFT (PBE) results for a relaxed structure of LiYSc2.

Summary:
The calculation puts the uncorrected energy at -0.1896 hartree per atom. As for the magnetization: 0.4 μB/f.u.

a = 3.461 Å, b = 3.461 Å, c = 8.322 Å
α = 90.00°, β = 90.00°, γ = 90.00°
Space group P4mm (No. 99)
Asymmetric unit:
1 Li 0.000 0.000 0.000
2 Y 0.500 0.500 0.744
3 Sc 0.000 0.000 0.463
4 Sc 0.500 0.500 0.215

Entry 6:
DFT (PBE) results for a relaxed structure of LiYSc2.

Summary:
The calculation puts the uncorrected energy at -0.1889 hartree per atom. As for the magnetization: 0.0 μB/f.u.

a = 4.855 Å, b = 4.864 Å, c = 8.381 Å
α = 90.00°, β = 90.00°, γ = 90.00°
Space group Cmmm (No. 65)
Asymmetric unit:
1 Li 0.000 0.000 0.000
2 Y 0.000 0.000 0.500
3 Sc 0.000 0.500 0.214

Entry 7:
DFT (PBE) results for a relaxed structure of LiYSc.

Summary:
The calculation puts the uncorrected energy at -0.1449 hartree per atom. As for the magnetization: 0.0 μB/f.u.

a = 7.179 Å, b = 7.179 Å, c = 7.179 Å
α = 90.00°, β = 90.00°, γ = 90.00°
Space group F-43m (No. 216)
Asymmetric unit:
1 Li 0.000 0.000 0.000
2 Y 0.250 0.250 0.750
3 Sc 0.000 0.000 0.500

Entry 8:
DFT (PBE) results for a relaxed structure of Li2Y4Sc.

Summary:
The calculation puts the uncorrected energy at -0.1660 hartree per atom. As for the magnetization: 0.0 μB/f.u.

a = 5.457 Å, b = 5.457 Å, c = 15.417 Å
α = 90.00°, β = 90.00°, γ = 90.00°
Space group I4/mmm (No. 139)
Asymmetric unit:
1 Li 0.000 0.000 0.110
2 Y 0.000 0.000 0.311
3 Y 0.000 0.500 0.000
4 Sc 0.000 0.000 0.500

Entry 9:
DFT (PBE) results for a relaxed structure of LiYSc.

Summary:
The calculation puts the uncorrected energy at -0.1599 hartree per atom. As for the magnetization: 1.0 μB/f.u.

a = 6.942 Å, b = 6.942 Å, c = 6.942 Å
α = 90.00°, β = 90.00°, γ = 90.00°
Space group F-43m (No. 216)
Asymmetric unit:
1 Li 0.000 0.000 0.000
2 Y 0.250 0.250 0.250
3 Sc 0.250 0.250 0.750

Entry 10:
DFT (PBE) results for a relaxed structure of LiY2Sc2.

Summary:
The calculation puts the uncorrected energy at -0.1916 hartree per atom. As for the magnetization: 0.0 μB/f.u.

a = 9.097 Å, b = 9.097 Å, c = 3.497 Å
α = 90.00°, β = 90.00°, γ = 90.00°
Space group P4/mbm (No. 127)
Asymmetric unit:
1 Li 0.000 0.000 0.000
2 Y 0.179 0.321 0.500
3 Sc 0.116 0.616 0.000

Entry 11:
DFT (PBE) results for a relaxed structure of LiYSc2.

Summary:
The calculation puts the uncorrected energy at -0.1873 hartree per atom. As for the magnetization: 1.3 μB/f.u.

a = 3.3743 Å, b = 3.3743 Å, c = 31.6960 Å
α = 90.00°, β = 90.00°, γ = 120.00°
Space group R3m (No. 160, hexagonal axes)
Asymmetric unit:
1 Li 0.0000 0.0000 0.0000
2 Y 0.0000 0.0000 0.1659
3 Sc 0.0000 0.0000 0.4126
4 Sc 0.0000 0.0000 0.5865

Entry 12:
DFT (PBE) results for a relaxed structure of LiYSc2.

Summary:
The calculation puts the uncorrected energy at -0.1853 hartree per atom. As for the magnetization: 0.1 μB/f.u.

a = 4.382 Å, b = 4.382 Å, c = 10.556 Å
α = 90.00°, β = 90.00°, γ = 90.00°
Space group I4/mmm (No. 139)
Asymmetric unit:
1 Li 0.000 0.000 0.000
2 Y 0.000 0.000 0.500
3 Sc 0.000 0.500 0.250

Entry 13:
DFT (PBE) results for a relaxed structure of LiYSc2.

Summary:
The calculation puts the uncorrected energy at -0.1863 hartree per atom. As for the magnetization: 0.0 μB/f.u.

a = 7.371 Å, b = 7.371 Å, c = 7.371 Å
α = 90.00°, β = 90.00°, γ = 90.00°
Space group F-43m (No. 216)
Asymmetric unit:
1 Li 0.000 0.000 0.000
2 Y 0.250 0.250 0.750
3 Sc 0.000 0.000 0.500
4 Sc 0.250 0.250 0.250

Entry 14:
DFT (PBE) results for a relaxed structure of LiYSc2.

Summary:
The calculation puts the uncorrected energy at -0.1848 hartree per atom. As for the magnetization: 0.0 μB/f.u.

a = 3.2884 Å, b = 3.2884 Å, c = 34.8083 Å
α = 90.00°, β = 90.00°, γ = 120.00°
Space group R-3m (No. 166, hexagonal axes)
Asymmetric unit:
1 Li 0.0000 0.0000 0.0000
2 Y 0.0000 0.0000 0.5000
3 Sc 0.0000 0.0000 0.0871

Entry 15:
DFT (PBE) results for a relaxed structure of LiYSc2.

Summary:
The calculation puts the uncorrected energy at -0.1835 hartree per atom. As for the magnetization: 0.0 μB/f.u.

a = 7.391 Å, b = 7.391 Å, c = 7.391 Å
α = 90.00°, β = 90.00°, γ = 90.00°
Space group Fm-3m (No. 225)
Asymmetric unit:
1 Li 0.000 0.000 0.000
2 Y 0.000 0.000 0.500
3 Sc 0.250 0.250 0.250

Entry 16:
DFT (PBE) results for a relaxed structure of LiYSc.

Summary:
The calculation puts the uncorrected energy at -0.1761 hartree per atom. As for the magnetization: 0.0 μB/f.u.

a = 3.536 Å, b = 3.536 Å, c = 12.015 Å
α = 90.00°, β = 90.00°, γ = 90.00°
Space group I4mm (No. 107)
Asymmetric unit:
1 Li 0.000 0.000 0.000
2 Y 0.000 0.000 0.670
3 Sc 0.000 0.000 0.360

Entry 17:
DFT (PBE) results for a relaxed structure of LiYSc2.

Summary:
The calculation puts the uncorrected energy at -0.1846 hartree per atom. As for the magnetization: 0.0 μB/f.u.

a = 5.229 Å, b = 5.229 Å, c = 3.740 Å
α = 90.00°, β = 90.00°, γ = 90.00°
Space group P4/mmm (No. 123)
Asymmetric unit:
1 Li 0.000 0.000 0.000
2 Y 0.500 0.500 0.000
3 Sc 0.000 0.500 0.500

Entry 18:
DFT (PBE) results for a relaxed structure of LiYSc2.

Summary:
The calculation puts the uncorrected energy at -0.1859 hartree per atom. As for the magnetization: 0.0 μB/f.u.

a = 3.347 Å, b = 4.809 Å, c = 6.375 Å
α = 90.00°, β = 90.00°, γ = 90.00°
Space group Pmmm (No. 47)
Asymmetric unit:
1 Li 0.000 0.000 0.000
2 Y 0.000 0.000 0.500
3 Sc 0.500 0.500 0.248

Entry 19:
DFT (PBE) results for a relaxed structure of LiYSc2.

Summary:
The calculation puts the uncorrected energy at -0.1858 hartree per atom. As for the magnetization: 0.0 μB/f.u.

a = 6.321 Å, b = 11.058 Å, c = 3.232 Å
α = 90.00°, β = 115.20°, γ = 90.00°
Space group C2/m (No. 12)
Asymmetric unit:
1 Li 0.000 0.000 0.000
2 Y 0.000 0.500 0.000
3 Sc 0.250 0.250 0.500

Entry 20:
DFT (PBE) results for a relaxed structure of LiYSc2.

Summary:
The calculation puts the uncorrected energy at -0.1887 hartree per atom. As for the magnetization: 0.0 μB/f.u.

a = 3.592 Å, b = 5.209 Å, c = 10.567 Å
α = 90.00°, β = 90.00°, γ = 90.00°
Space group Imm2 (No. 44)
Asymmetric unit:
1 Li 0.000 0.000 0.000
2 Y 0.000 0.500 0.734
3 Sc 0.000 0.000 0.514
4 Sc 0.000 0.500 0.282